NiPd5Se4: optimized geometry, PBE.

Total magnetic moment   0.0 μB/f.u.
VASP energy   -4.713 eV/atom
ρ   8.4 g/cm3
Energy relative to the elements, uncorrected   -145 meV per atom

The structure in CIF format:
```
data_NiPd5Se4
_chemical_formula_sum 'Ni2 Pd10 Se8'
_cell_length_a 15.637
_cell_length_b 3.556
_cell_length_c 6.464
_cell_angle_alpha 90.00
_cell_angle_beta 91.28
_cell_angle_gamma 90.00
_space_group_name_H-M_alt 'C 1 2/m 1'
_space_group_IT_number 12
loop_
_space_group_symop_operation_xyz
'x,y,z'
'-x,-y,-z'
'-x,y,-z'
'x,-y,z'
'x+1/2,y+1/2,z'
'-x+1/2,-y+1/2,-z'
'-x+1/2,y+1/2,-z'
'x+1/2,-y+1/2,z'
loop_
_atom_site_label
_atom_site_type_symbol
_atom_site_fract_x
_atom_site_fract_y
_atom_site_fract_z
Ni1 Ni 0.000 0.000 0.000
Pd1 Pd 0.000 0.000 0.500
Pd2 Pd 0.177 0.500 0.557
Pd3 Pd 0.227 0.500 0.151
Se1 Se 0.071 0.500 0.212
Se2 Se 0.121 0.000 0.780
```